1.
Material: Ca4AlAg
Method: DFT, PBE
State: relaxed

The structure belongs to space group P4/mmm (No. 123); the cell edges are 3.780, 3.780 and 12.939 Å and the angles 90.00°, 90.00° and 90.00°. Symmetry generates all atoms from Ca at (0.000, 0.000, 0.138), Ca at (0.500, 0.500, 0.361), Al at (0.000, 0.000, 0.500) and Ag at (0.500, 0.500, 0.000).

The calculation puts the energy of formation at -17 kJ/mol of atoms. As for the energy: -15.67 eV per cell. The polymorph energy (0 for the lowest one) comes out at 0.000 eV per atom.

=====

2.
Material: Ca2Al5Ag3
Method: DFT, PBE
State: relaxed

The structure belongs to space group P-4m2 (No. 115); the cell edges are 4.230, 4.230 and 11.887 Å and the angles 90.00°, 90.00° and 90.00°. Symmetry generates all atoms from Ca at (0.000, 0.500, 0.245), Al at (0.000, 0.000, 0.000), Al at (0.000, 0.000, 0.500), Al at (0.000, 0.500, 0.862), Al at (0.500, 0.500, 0.000), Ag at (0.000, 0.500, 0.649) and Ag at (0.500, 0.500, 0.500).

The calculation puts the energy of formation at -20 kJ/mol of atoms. As for the energy: -33.35 eV per cell. The polymorph energy (0 for the lowest one) comes out at 0.048 eV per atom.

=====

3.
Material: CaAl3Ag2
Method: DFT, PBE
State: relaxed

The structure belongs to space group P6/mmm (No. 191); the cell edges are 5.5444, 5.5444 and 4.4158 Å and the angles 90.00°, 90.00° and 120.00°. Symmetry generates all atoms from Ca at (0.0000, 0.0000, 0.0000), Al at (0.0000, 0.5000, 0.5000) and Ag at (0.3333, 0.6667, 0.0000).

The calculation puts the energy of formation at -27 kJ/mol of atoms. As for the energy: -20.63 eV per cell. The polymorph energy (0 for the lowest one) comes out at 0.000 eV per atom.

=====

4.
Material: Ca7Al2Ag2
Method: DFT, PBE
State: relaxed

The structure belongs to space group Cmmm (No. 65); the cell edges are 8.049, 11.612 and 7.646 Å and the angles 90.00°, 90.00° and 90.00°. Symmetry generates all atoms from Ca at (0.000, 0.000, 0.000), Ca at (0.000, 0.500, 0.261), Ca at (0.250, 0.250, 0.278), Al at (0.162, 0.000, 0.500) and Ag at (0.000, 0.296, 0.000).

The calculation puts the energy of formation at -6 kJ/mol of atoms. As for the energy: -55.74 eV per cell.